1.
K2SrZrTe4 GGA-PBE relaxed; SG = P2/m; E_form (uncorrected) = -112.6 kJ per mole of atoms; final energy = -4.291 eV/atom; crystal system = monoclinic; magnetic moment = 0.0 μB/f.u.; Fermi-level density of states = 0.1 states/eV/f.u.
1.0
8.008 0.000 0.000
0.000 4.475 0.000
-2.489 0.000 8.210
K Sr Zr Te
2 1 1 4
direct
0.000 0.000 0.000
0.500 0.500 0.000
0.000 0.500 0.500
0.500 0.000 0.500
0.271 0.000 0.712
0.292 0.500 0.298
0.708 0.500 0.702
0.729 0.000 0.288

=====

2.
K2SrTi GGA-PBE relaxed; SG = I-42d; final energy = -2.094 eV/atom; crystal system = tetragonal; energy relative to the lowest polymorph listed for this composition = 0 meV/atom; magnetic moment = 3.7 μB/f.u.; calculated formation energy = 3.40 eV/f.u.; Fermi-level density of states = 3.9 states/eV/f.u.
1.0
5.152 0.000 0.000
0.000 5.152 0.000
0.000 0.000 28.934
K Sr Ti
8 4 4
direct
0.233 0.250 0.125
0.250 0.733 0.375
0.250 0.767 0.875
0.267 0.250 0.625
0.733 0.750 0.625
0.750 0.233 0.875
0.750 0.267 0.375
0.767 0.750 0.125
0.000 0.000 0.500
0.000 0.500 0.750
0.500 0.000 0.250
0.500 0.500 0.000
0.000 0.000 0.000
0.000 0.500 0.250
0.500 0.000 0.750
0.500 0.500 0.500

=====

3.
K2Sr2Ti GGA-PBE relaxed; SG = I4/mmm; final energy = -1.959 eV/atom; crystal system = tetragonal; energy relative to the lowest polymorph listed for this composition = 60 meV/atom; magnetic moment = 3.7 μB/f.u.; calculated formation energy = 3.66 eV/f.u.; Fermi-level density of states = 6.9 states/eV/f.u.
1.0
4.743 0.000 0.000
0.000 4.743 0.000
0.000 0.000 22.357
K Sr Ti
4 4 2
direct
0.000 0.500 0.250
0.000 0.500 0.750
0.500 0.000 0.250
0.500 0.000 0.750
0.000 0.000 0.082
0.000 0.000 0.918
0.500 0.500 0.418
0.500 0.500 0.582
0.000 0.000 0.500
0.500 0.500 0.000

=====

4.
K2SrTi GGA-PBE relaxed; SG = Fm-3m; final energy = -2.050 eV/atom; crystal system = cubic; energy relative to the lowest polymorph listed for this composition = 44 meV/atom; magnetic moment = 3.2 μB/f.u.; calculated formation energy = 3.57 eV/f.u.; Fermi-level density of states = 10.0 states/eV/f.u.
1.0
9.089 0.000 0.000
0.000 9.089 0.000
0.000 0.000 9.089
K Sr Ti
8 4 4
direct
0.250 0.250 0.250
0.250 0.250 0.750
0.250 0.750 0.250
0.250 0.750 0.750
0.750 0.250 0.250
0.750 0.250 0.750
0.750 0.750 0.250
0.750 0.750 0.750
0.000 0.000 0.000
0.000 0.500 0.500
0.500 0.000 0.500
0.500 0.500 0.000
0.000 0.000 0.500
0.000 0.500 0.000
0.500 0.000 0.000
0.500 0.500 0.500

=====

5.
KSrTi2 GGA-PBE relaxed; SG = Fm-3m; final energy = -3.246 eV/atom; crystal system = cubic; energy relative to the lowest polymorph listed for this composition = 75 meV/atom; magnetic moment = 0.0 μB/f.u.; calculated formation energy = 5.59 eV/f.u.; Fermi-level density of states = 10.7 states/eV/f.u.
1.0
7.892 0.000 0.000
0.000 7.892 0.000
0.000 0.000 7.892
K Sr Ti
4 4 8
direct
0.000 0.000 0.000
0.000 0.500 0.500
0.500 0.000 0.500
0.500 0.500 0.000
0.000 0.000 0.500
0.000 0.500 0.000
0.500 0.000 0.000
0.500 0.500 0.500
0.250 0.250 0.250
0.250 0.250 0.750
0.250 0.750 0.250
0.250 0.750 0.750
0.750 0.250 0.250
0.750 0.250 0.750
0.750 0.750 0.250
0.750 0.750 0.750

=====

6.
KSrTi2 GGA-PBE relaxed; SG = I-42d; final energy = -3.321 eV/atom; crystal system = tetragonal; energy relative to the lowest polymorph listed for this composition = 0 meV/atom; magnetic moment = 0.0 μB/f.u.; calculated formation energy = 5.29 eV/f.u.; Fermi-level density of states = 5.2 states/eV/f.u.
1.0
4.608 0.000 0.000
0.000 4.608 0.000
0.000 0.000 24.727
K Sr Ti
4 4 8
direct
0.000 0.000 0.000
0.000 0.500 0.250
0.500 0.000 0.750
0.500 0.500 0.500
0.000 0.000 0.500
0.000 0.500 0.750
0.500 0.000 0.250
0.500 0.500 0.000
0.111 0.250 0.625
0.250 0.611 0.875
0.250 0.889 0.375
0.389 0.250 0.125
0.611 0.750 0.125
0.750 0.111 0.375
0.750 0.389 0.875
0.889 0.750 0.625

=====

7.
K3SrTi GGA-PBE relaxed; SG = Pm-3m; final energy = -1.691 eV/atom; crystal system = cubic; energy relative to the lowest polymorph listed for this composition = 0 meV/atom; magnetic moment = 4.3 μB/f.u.; calculated formation energy = 4.41 eV/f.u.; Fermi-level density of states = 6.6 states/eV/f.u.
1.0
6.753 0.000 0.000
0.000 6.753 0.000
0.000 0.000 6.753
K Sr Ti
3 1 1
direct
0.000 0.000 0.500
0.000 0.500 0.000
0.500 0.000 0.000
0.500 0.500 0.500
0.000 0.000 0.000

=====

8.
K2Sr2Ti GGA-PBE relaxed; SG = P4/mbm; final energy = -2.019 eV/atom; crystal system = tetragonal; energy relative to the lowest polymorph listed for this composition = 0 meV/atom; magnetic moment = 4.1 μB/f.u.; calculated formation energy = 3.36 eV/f.u.; Fermi-level density of states = 4.0 states/eV/f.u.
1.0
8.852 0.000 0.000
0.000 8.852 0.000
0.000 0.000 7.086
K Sr Ti
4 4 2
direct
0.174 0.326 0.000
0.326 0.826 0.000
0.674 0.174 0.000
0.826 0.674 0.000
0.166 0.666 0.500
0.334 0.166 0.500
0.666 0.834 0.500
0.834 0.334 0.500
0.000 0.000 0.500
0.500 0.500 0.500

=====

9.
KSr2Ti GGA-PBE relaxed; SG = I-42d; final energy = -2.157 eV/atom; crystal system = tetragonal; energy relative to the lowest polymorph listed for this composition = 257 meV/atom; magnetic moment = 3.6 μB/f.u.; calculated formation energy = 3.73 eV/f.u.; Fermi-level density of states = 5.7 states/eV/f.u.
1.0
5.446 0.000 0.000
0.000 5.446 0.000
0.000 0.000 25.565
K Sr Ti
4 8 4
direct
0.000 0.000 0.000
0.000 0.500 0.250
0.500 0.000 0.750
0.500 0.500 0.500
0.232 0.250 0.625
0.250 0.732 0.875
0.250 0.768 0.375
0.268 0.250 0.125
0.732 0.750 0.125
0.750 0.232 0.375
0.750 0.268 0.875
0.768 0.750 0.625
0.000 0.000 0.500
0.000 0.500 0.750
0.500 0.000 0.250
0.500 0.500 0.000

=====

10.
KSr2Ti GGA-PBE relaxed; SG = Fm-3m; final energy = -2.414 eV/atom; crystal system = cubic; energy relative to the lowest polymorph listed for this composition = 0 meV/atom; magnetic moment = 3.2 μB/f.u.; calculated formation energy = 2.70 eV/f.u.; Fermi-level density of states = 17.3 states/eV/f.u.
1.0
8.853 0.000 0.000
0.000 8.853 0.000
0.000 0.000 8.853
K Sr Ti
4 8 4
direct
0.000 0.000 0.000
0.000 0.500 0.500
0.500 0.000 0.500
0.500 0.500 0.000
0.250 0.250 0.250
0.250 0.250 0.750
0.250 0.750 0.250
0.250 0.750 0.750
0.750 0.250 0.250
0.750 0.250 0.750
0.750 0.750 0.250
0.750 0.750 0.750
0.000 0.000 0.500
0.000 0.500 0.000
0.500 0.000 0.000
0.500 0.500 0.500

=====

11.
K3SrTi GGA-PBE relaxed; SG = Pm-3m; final energy = -1.151 eV/atom; crystal system = cubic; energy relative to the lowest polymorph listed for this composition = 541 meV/atom; magnetic moment = 0.4 μB/f.u.; calculated formation energy = 7.12 eV/f.u.; Fermi-level density of states = 21.9 states/eV/f.u.
1.0
7.428 0.000 0.000
0.000 7.428 0.000
0.000 0.000 7.428
K Sr Ti
3 1 1
direct
0.000 0.000 0.500
0.000 0.500 0.000
0.500 0.000 0.000
0.000 0.000 0.000
0.500 0.500 0.500

=====

12.
KSrTi2Tl GGA-PBE relaxed; SG = P4/mmm; final energy = -2.543 eV/atom; crystal system = tetragonal; magnetic moment = 2.7 μB/f.u.; calculated formation energy = 8.22 eV/f.u.; Fermi-level density of states = 7.6 states/eV/f.u.
1.0
5.278 0.000 0.000
0.000 5.278 0.000
0.000 0.000 5.900
K Sr Ti Tl
1 1 2 1
direct
0.000 0.000 0.000
0.000 0.000 0.500
0.000 0.500 0.500
0.500 0.000 0.500
0.500 0.500 0.000